# 1
A geometry-optimized CoAg2PbC structure, computed with PBE.

- magnetic moment (Bohr magnetons per cell) = 2.7
- symmetry = P4/mmm (123)
- ΔH_f (0 K) (eV/atom) = 1.873

Unit cell a=4.8651 b=4.9117 c=4.8651 alpha=90.00 beta=90.00 gamma=90.00
Each line ends with the local moment (μB).
Sites, in units of the cell vectors:
C  0.5000  0.5000  0.5000  0.77
Co  0.0000  0.0000  0.0000  1.30
Ag  0.0000  0.0000  0.5000  0.04
Pb  0.0000  0.5000  0.0000  -0.08
Ag  0.5000  0.0000  0.0000  -0.02



# 2
A geometry-optimized CoRe2AgC structure, computed with PBE.

- magnetic moment (Bohr magnetons per cell) = 5.2
- symmetry = P4/mmm (123)
- ΔH_f (0 K) (eV/atom) = 3.240

Unit cell a=4.9626 b=3.6733 c=4.9626 alpha=90.00 beta=90.00 gamma=90.00
Each line ends with the local moment (μB).
Sites, in units of the cell vectors:
Ag  0.0000  0.0000  0.0000  0.07
C  0.0000  0.5000  0.0000  -0.01
Co  0.5000  0.5000  0.5000  2.05
Re  0.0000  0.0000  0.5000  1.52
Re  0.5000  0.0000  0.0000  1.29



# 3
A geometry-optimized Sc2CoAgC structure, computed with PBE.

- magnetic moment (Bohr magnetons per cell) = 0.0
- symmetry = P4/mmm (123)
- ΔH_f (0 K) (eV/atom) = -0.402

Unit cell a=4.6325 b=4.6325 c=3.6331 alpha=90.00 beta=90.00 gamma=90.00
Sites, in units of the cell vectors:
Co  0.0000  0.0000  0.5000
Sc  0.5000  0.0000  0.0000
C  0.0000  0.0000  0.0000
Sc  0.0000  0.5000  0.0000
Ag  0.5000  0.5000  0.5000



# 4
A geometry-optimized ScCoAg2C structure, computed with PBE.

- magnetic moment (Bohr magnetons per cell) = 1.3
- symmetry = P4/mmm (123)
- ΔH_f (0 K) (eV/atom) = 1.640

Unit cell a=4.7557 b=4.4709 c=4.7557 alpha=90.00 beta=90.00 gamma=90.00
Each line ends with the local moment (μB).
Sites, in units of the cell vectors:
C  0.5000  0.5000  0.5000  0.41
Co  0.0000  0.0000  0.0000  0.76
Ag  0.0000  0.0000  0.5000  0.01
Ag  0.5000  0.0000  0.0000  -0.01
Sc  0.0000  0.5000  0.0000  -0.17



# 5
A geometry-optimized CoAgCSe2 structure, computed with PBE.

- magnetic moment (Bohr magnetons per cell) = 2.1
- symmetry = P4/mmm (123)
- formation energy from raw total energies (kJ per mole of atoms) = 128

Unit cell a=4.5118 b=4.1573 c=4.5118 alpha=90.00 beta=90.00 gamma=90.00
Each line ends with the local moment (μB).
Sites, in units of the cell vectors:
Se  0.0000  0.0000  0.5000  0.01
Co  0.5000  0.5000  0.5000  1.96
C  0.0000  0.0000  0.0000  0.00
Se  0.5000  0.0000  0.0000  0.05
Ag  0.0000  0.5000  0.0000  0.01



# 6
A geometry-optimized Tb2CoAgC structure, computed with PBE.

- magnetic moment (Bohr magnetons per cell) = 0.0
- symmetry = P4/mmm (123)
- ΔH_f (0 K) (eV/atom) = -0.355

Unit cell a=3.6467 b=5.0568 c=5.0568 alpha=90.00 beta=90.00 gamma=90.00
Sites, in units of the cell vectors:
Ag  0.5000  0.5000  0.5000
Tb  0.0000  0.5000  0.0000
Tb  0.0000  0.0000  0.5000
Co  0.5000  0.0000  0.0000
C  0.0000  0.0000  0.0000



- Look up the magnetic moment of the second one.
  5.2 Bohr magnetons per cell